Compound: TlGaCo2F8
Source: Alexandria
Functional: GGA+U
Structure: relaxed

The space group is P-1 (No. 2) and the conventional cell measures 5.099, 5.109 and 7.373 Å, with angles of 78.15, 78.24 and 76.05 degrees. The inequivalent atoms are Tl at (0.000, 0.000, 0.000), Ga at (0.000, 0.000, 0.500), Co at (0.439, 0.439, 0.231), F at (0.195, 0.753, 0.691), F at (0.244, 0.240, 0.459), F at (0.245, 0.803, 0.309) and F at (0.346, 0.344, 0.007).

For the magnetization, the calculation gives 0.50 μB/atom. As for the final energy: -4.735 eV/atom.